(1)
The following is a PBE calculation of crystalline AlZn3Ga12 at its relaxed geometry, from Alexandria.

total energy = -43.28 eV for the cell shown
SG = P-1, No. 2

a = 4.770 Å, b = 6.097 Å, c = 10.942 Å
α = 85.54°, β = 78.29°, γ = 68.59°
Element x y z (fractional)
Al 0.000 0.000 0.000
Zn 0.000 0.500 0.500
Zn 0.004 0.248 0.747
Zn 0.996 0.752 0.253
Ga 0.000 0.127 0.375
Ga 0.000 0.873 0.625
Ga 0.001 0.619 0.874
Ga 0.497 0.626 0.376
Ga 0.498 0.749 0.751
Ga 0.498 0.875 0.127
Ga 0.500 0.000 0.500
Ga 0.500 0.500 0.000
Ga 0.502 0.125 0.873
Ga 0.502 0.251 0.249
Ga 0.503 0.374 0.624
Ga 0.999 0.381 0.126



(2)
The following is a PBE calculation of crystalline AlZn4Ga at its relaxed geometry, from Alexandria.

ΔE to the lowest computed polymorph = 0.0105 eV/atom
SG = C2/c, No. 15

a = 6.728 Å, b = 6.728 Å, c = 7.629 Å
α = 123.35°, β = 123.35°, γ = 45.68°
Element x y z (fractional)
Al 0.248 0.752 0.750
Al 0.752 0.248 0.250
Zn 0.001 0.499 0.665
Zn 0.251 0.748 0.415
Zn 0.252 0.749 0.085
Zn 0.499 0.001 0.165
Zn 0.501 0.999 0.835
Zn 0.748 0.251 0.915
Zn 0.749 0.252 0.585
Zn 0.999 0.501 0.335
Ga 0.000 0.500 0.000
Ga 0.500 0.000 0.500



(3)
The following is a PBE calculation of crystalline Al2Zn7Ga2 at its relaxed geometry, from Alexandria.

total energy = -21.10 eV for the cell shown
SG = C2/m, No. 12

a = 5.321 Å, b = 5.321 Å, c = 7.478 Å
α = 90.72°, β = 90.72°, γ = 69.81°
Element x y z (fractional)
Al 0.215 0.785 0.000
Al 0.785 0.215 0.000
Zn 0.000 0.000 0.500
Zn 0.003 0.493 0.802
Zn 0.493 0.003 0.802
Zn 0.500 0.500 0.265
Zn 0.500 0.500 0.735
Zn 0.507 0.997 0.198
Zn 0.997 0.507 0.198
Ga 0.283 0.283 0.497
Ga 0.717 0.717 0.503



(4)
The following is a PBE calculation of crystalline Al4ZnGa4 at its relaxed geometry, from Alexandria.

ΔE to the lowest computed polymorph = 0.0000 eV/atom
SG = I4/mmm, No. 139

a = 6.441 Å, b = 6.441 Å, c = 6.441 Å
α = 95.95°, β = 95.95°, γ = 142.44°
Element x y z (fractional)
Al 0.000 0.334 0.334
Al 0.000 0.666 0.666
Al 0.334 0.000 0.334
Al 0.666 0.000 0.666
Zn 0.000 0.000 0.000
Ga 0.335 0.335 0.670
Ga 0.335 0.665 0.000
Ga 0.665 0.335 0.000
Ga 0.665 0.665 0.330



(5)
The following is a PBE calculation of crystalline AlZnGa4 at its relaxed geometry, from Alexandria.

ΔE to the lowest computed polymorph = 0.1706 eV/atom
SG = F-43m, No. 216

a = 5.482 Å, b = 5.482 Å, c = 5.482 Å
α = 60.00°, β = 60.00°, γ = 60.00°
Element x y z (fractional)
Al 0.000 0.000 0.000
Zn 0.750 0.750 0.750
Ga 0.375 0.375 0.375
Ga 0.375 0.375 0.874
Ga 0.375 0.874 0.375
Ga 0.874 0.375 0.375



(6)
The following is a PBE calculation of crystalline Al3ZnGa6 at its relaxed geometry, from Alexandria.

total energy = -59.37 eV for the cell shown
SG = R-3, No. 148

a = 7.533 Å, b = 7.533 Å, c = 7.533 Å
α = 101.96°, β = 101.96°, γ = 101.96°
Element x y z (fractional)
Al 0.030 0.763 0.664
Al 0.237 0.336 0.970
Al 0.336 0.970 0.237
Al 0.664 0.030 0.763
Al 0.763 0.664 0.030
Al 0.970 0.237 0.336
Zn 0.000 0.000 0.000
Zn 0.500 0.500 0.500
Ga 0.027 0.884 0.348
Ga 0.116 0.652 0.973
Ga 0.206 0.470 0.646
Ga 0.348 0.027 0.884
Ga 0.354 0.794 0.530
Ga 0.470 0.646 0.206
Ga 0.530 0.354 0.794
Ga 0.646 0.206 0.470
Ga 0.652 0.973 0.116
Ga 0.794 0.530 0.354
Ga 0.884 0.348 0.027
Ga 0.973 0.116 0.652



Calculated theoretical density (g/cm3), listed in the same order as above: 6.07; 6.00; 5.44; 4.87; 5.29; 4.75